# KTa4Te8

KTa4Te8 after structural relaxation (PBE, Alexandria).

Lattice parameters (Å, degrees): 9.6833 9.6833 13.4696 130.38 130.38 22.15
Last column: nearest neighbours and their distance in Å.
Fractional positions:
K1 0.0000 0.0000 0.0000  8 Te 3.49-3.66, 2 K 3.72
Ta1 0.1587 0.1587 0.4763  6 Te 2.76-2.85
Ta2 0.3154 0.3154 0.1297  6 Te 2.78-3.05
Ta3 0.6846 0.6846 0.8703  6 Te 2.78-3.05
Ta4 0.8413 0.8413 0.5237  6 Te 2.76-2.85
Te1 0.0382 0.0382 0.7416  3 Ta 2.80-2.85
Te2 0.3136 0.3136 0.9219  3 Ta 2.78
Te3 0.3491 0.3491 0.6887  3 Ta 2.76-2.83
Te4 0.3728 0.3728 0.4011  3 Ta 2.80-3.05
Te5 0.6272 0.6272 0.5989  3 Ta 2.80-3.05
Te6 0.6509 0.6509 0.3113  3 Ta 2.76-2.83
Te7 0.6864 0.6864 0.0781  3 Ta 2.78
Te8 0.9618 0.9618 0.2584  3 Ta 2.80-2.85

Values from the calculation:
The space group is C2/m (12). For the total moment, the calculation gives 0.0 μB per formula unit. The formation energy without anion corrections is -343 meV per atom. The density of states at the Fermi level is 8.52 states/eV per cell.